# FeCu3 PBE optimized geometry
data_FeCu3
_chemical_formula_sum 'Fe2 Cu6'
_cell_length_a 5.1207
_cell_length_b 5.1207
_cell_length_c 4.1341
_cell_angle_alpha 90.00
_cell_angle_beta 90.00
_cell_angle_gamma 120.00
_symmetry_space_group_name_H-M 'P 63/m m c'
_symmetry_Int_Tables_number 194
_symmetry_space_group_name_Hall '-P 6c 2c'
loop_
_atom_site_label
_atom_site_type_symbol
_atom_site_fract_x
_atom_site_fract_y
_atom_site_fract_z
_atom_site_occupancy
Fe1 Fe 0.3333 0.6667 0.2500 1
Cu1 Cu 0.1665 0.3329 0.7500 1
# energy: -37.46 eV per cell
# formation enthalpy at 0 K: 0.18 eV/atom
# theoretical density: 8.720 g cm⁻³